DFT (PBE-GGA) results for a relaxed structure of CsSm2CuTeSe3.

Output
The distance to the lowest polymorph of the same formula is 26.6 meV/atom. The calculation puts the total DFT energy (no corrections) at -4.861 eV per atom.

Cell and atoms, written as CIF:
```
data_CsSm2CuTeSe3
_chemical_formula_sum 'Cs4 Sm8 Cu4 Te4 Se12'
_cell_length_a 4.3010
_cell_length_b 15.0462
_cell_length_c 14.9493
_cell_angle_alpha 90.00
_cell_angle_beta 90.00
_cell_angle_gamma 90.00
_space_group_name_H-M_alt 'C m c m'
_space_group_IT_number 63
_space_group_name_Hall '-C 2c 2'
loop_
_atom_site_label
_atom_site_type_symbol
_atom_site_fract_x
_atom_site_fract_y
_atom_site_fract_z
_atom_site_occupancy
Cs1 Cs 0.0000 0.1234 0.2500 1
Sm1 Sm 0.0000 0.3666 0.0545 1
Cu1 Cu 0.0000 0.1649 0.7500 1
Te1 Te 0.0000 0.4325 0.2500 1
Se1 Se 0.0000 0.0000 0.0000 1
Se2 Se 0.0000 0.2539 0.6072 1
```